Compound: YAgAs2Br
Source: the Alexandria database
Functional: PBE
Structure: relaxed Values from VASP.

As for the space group: P4/mmm (123). The uncorrected formation energy is 0.070 eV per atom. Its density is 5423 kg/m³. Its total energy is -3.99 eV/atom. The value obtained for the offset from the most stable computed form is 0.0000 eV/atom. As for the total magnetization: 0.0 μB/f.u.

Geometry as Quantum ESPRESSO input:
```
&SYSTEM
  ibrav = 0, nat = 5, ntyp = 4
/
ATOMIC_SPECIES
Y 88.91 Y.upf
Ag 107.87 Ag.upf
As 74.92 As.upf
Br 79.90 Br.upf
ATOMIC_POSITIONS crystal
Y 0.500 0.500 0.500
Ag 0.000 0.000 0.000
As 0.500 0.000 0.000
Br 0.000 0.000 0.500
As 0.000 0.500 0.000
CELL_PARAMETERS angstrom
4.974 0.000 0.000
0.000 4.974 0.000
0.000 0.000 5.279
```